[1]
First-principles (GGA-PBE) data for a relaxed SrLi2Ni crystal, as listed in Alexandria via LeMat-Bulk.

## Properties
Spin magnetization   0.00 Bohr magnetons per cell
E   -10.51 eV per cell
ΔH_f (0 K)   0.195 eV/atom
Excess energy over the best structure of this formula in the dataset   127 meV per atom
D(E_F)   2.2 states/eV/f.u.

CIF file:
```
data_SrLi2Ni
_symmetry_space_group_name_H-M 'P 4/m m m'
_symmetry_Int_Tables_number 123
_symmetry_space_group_name_Hall '-P 4 2'
_cell_length_a 4.209
_cell_length_b 4.209
_cell_length_c 5.056
_cell_angle_alpha 90.00
_cell_angle_beta 90.00
_cell_angle_gamma 90.00
loop_
_atom_site_label
_atom_site_fract_x
_atom_site_fract_y
_atom_site_fract_z
_atom_site_occupancy
Sr1 0.000 0.000 0.000 1
Li1 0.000 0.500 0.500 1
Ni1 0.500 0.500 0.000 1
```



[2]
First-principles (GGA-PBE) data for a relaxed Sr4LiNi crystal, as listed in Alexandria via LeMat-Bulk.

## Properties
Spin magnetization   1.93 Bohr magnetons per cell
E   -38.58 eV per cell
ΔH_f (0 K)   0.796 eV/atom
D(E_F)   12.8 states/eV/f.u.

CIF file:
```
data_Sr4LiNi
_symmetry_space_group_name_H-M 'F -4 3 m'
_symmetry_Int_Tables_number 216
_symmetry_space_group_name_Hall 'F -4 2 3'
_cell_length_a 10.343
_cell_length_b 10.343
_cell_length_c 10.343
_cell_angle_alpha 90.00
_cell_angle_beta 90.00
_cell_angle_gamma 90.00
loop_
_atom_site_label
_atom_site_fract_x
_atom_site_fract_y
_atom_site_fract_z
_atom_site_occupancy
Sr1 0.125 0.125 0.125 1
Li1 0.250 0.250 0.750 1
Ni1 0.000 0.000 0.500 1
```



[3]
First-principles (GGA-PBE) data for a relaxed SrLiNiTe2 crystal, as listed in Alexandria via LeMat-Bulk.

## Properties
Spin magnetization   0.00 Bohr magnetons per cell
E   -18.85 eV per cell
E_form (uncorrected)   -3.2 eV per formula unit
D(E_F)   2.9 states/eV/f.u.

CIF file:
```
data_SrLiNiTe2
_symmetry_space_group_name_H-M 'P 4/m m m'
_symmetry_Int_Tables_number 123
_symmetry_space_group_name_Hall '-P 4 2'
_cell_length_a 5.309
_cell_length_b 5.309
_cell_length_c 4.540
_cell_angle_alpha 90.00
_cell_angle_beta 90.00
_cell_angle_gamma 90.00
loop_
_atom_site_label
_atom_site_fract_x
_atom_site_fract_y
_atom_site_fract_z
_atom_site_occupancy
Sr1 0.000 0.000 0.000 1
Li1 0.500 0.500 0.000 1
Ni1 0.500 0.500 0.500 1
Te1 0.000 0.500 0.500 1
```



[4]
First-principles (GGA-PBE) data for a relaxed Sr2LiNiTe crystal, as listed in Alexandria via LeMat-Bulk.

## Properties
Spin magnetization   0.00 Bohr magnetons per cell
E   -16.32 eV per cell
E_form (uncorrected)   -2.1 eV per formula unit
D(E_F)   3.4 states/eV/f.u.

CIF file:
```
data_Sr2LiNiTe
_symmetry_space_group_name_H-M 'P 4/m m m'
_symmetry_Int_Tables_number 123
_symmetry_space_group_name_Hall '-P 4 2'
_cell_length_a 5.659
_cell_length_b 5.659
_cell_length_c 4.635
_cell_angle_alpha 90.00
_cell_angle_beta 90.00
_cell_angle_gamma 90.00
loop_
_atom_site_label
_atom_site_fract_x
_atom_site_fract_y
_atom_site_fract_z
_atom_site_occupancy
Sr1 0.000 0.500 0.000 1
Li1 0.000 0.000 0.500 1
Ni1 0.000 0.000 0.000 1
Te1 0.500 0.500 0.500 1
```



[5]
First-principles (GGA-PBE) data for a relaxed SrLiTl2Ni crystal, as listed in Alexandria via LeMat-Bulk.

## Properties
Spin magnetization   0.00 Bohr magnetons per cell
E   -14.65 eV per cell
ΔH_f (0 K)   -0.108 eV/atom
D(E_F)   3.8 states/eV/f.u.

CIF file:
```
data_SrLiTl2Ni
_symmetry_space_group_name_H-M 'P 4/m m m'
_symmetry_Int_Tables_number 123
_symmetry_space_group_name_Hall '-P 4 2'
_cell_length_a 5.092
_cell_length_b 5.092
_cell_length_c 4.963
_cell_angle_alpha 90.00
_cell_angle_beta 90.00
_cell_angle_gamma 90.00
loop_
_atom_site_label
_atom_site_fract_x
_atom_site_fract_y
_atom_site_fract_z
_atom_site_occupancy
Sr1 0.000 0.000 0.000 1
Li1 0.500 0.500 0.000 1
Tl1 0.000 0.500 0.500 1
Ni1 0.500 0.500 0.500 1
```



[6]
First-principles (GGA-PBE) data for a relaxed SrLi2NiW crystal, as listed in Alexandria via LeMat-Bulk.

## Properties
Spin magnetization   4.10 Bohr magnetons per cell
E   -17.93 eV per cell
ΔH_f (0 K)   1.264 eV/atom
D(E_F)   2.4 states/eV/f.u.

CIF file:
```
data_SrLi2NiW
_symmetry_space_group_name_H-M 'P 4/m m m'
_symmetry_Int_Tables_number 123
_symmetry_space_group_name_Hall '-P 4 2'
_cell_length_a 4.719
_cell_length_b 4.719
_cell_length_c 5.381
_cell_angle_alpha 90.00
_cell_angle_beta 90.00
_cell_angle_gamma 90.00
loop_
_atom_site_label
_atom_site_fract_x
_atom_site_fract_y
_atom_site_fract_z
_atom_site_occupancy
Sr1 0.000 0.000 0.000 1
Li1 0.000 0.500 0.500 1
Ni1 0.000 0.000 0.500 1
W1 0.500 0.500 0.000 1
```



[7]
First-principles (GGA-PBE) data for a relaxed Sr2LiZnNi crystal, as listed in Alexandria via LeMat-Bulk.

## Properties
Spin magnetization   0.00 Bohr magnetons per cell
E   -12.33 eV per cell
ΔH_f (0 K)   0.001 eV/atom
D(E_F)   3.8 states/eV/f.u.

CIF file:
```
data_Sr2LiZnNi
_symmetry_space_group_name_H-M 'P 4/m m m'
_symmetry_Int_Tables_number 123
_symmetry_space_group_name_Hall '-P 4 2'
_cell_length_a 5.695
_cell_length_b 5.695
_cell_length_c 4.752
_cell_angle_alpha 90.00
_cell_angle_beta 90.00
_cell_angle_gamma 90.00
loop_
_atom_site_label
_atom_site_fract_x
_atom_site_fract_y
_atom_site_fract_z
_atom_site_occupancy
Sr1 0.000 0.500 0.000 1
Li1 0.000 0.000 0.500 1
Zn1 0.500 0.500 0.500 1
Ni1 0.500 0.500 0.000 1
```



[8]
First-principles (GGA-PBE) data for a relaxed Sr2Li3ZnNi12 crystal, as listed in Alexandria via LeMat-Bulk.

## Properties
Spin magnetization   10.08 Bohr magnetons per cell
E   -225.68 eV per cell
ΔH_f (0 K)   0.252 eV/atom
D(E_F)   30.4 states/eV/f.u.

CIF file:
```
data_Sr2Li3ZnNi12
_symmetry_space_group_name_H-M 'R -3 m'
_symmetry_Int_Tables_number 166
_symmetry_space_group_name_Hall '-R 3 2"'
_cell_length_a 5.9177
_cell_length_b 5.9177
_cell_length_c 27.0643
_cell_angle_alpha 90.00
_cell_angle_beta 90.00
_cell_angle_gamma 120.00
loop_
_atom_site_label
_atom_site_fract_x
_atom_site_fract_y
_atom_site_fract_z
_atom_site_occupancy
Sr1 0.0000 0.0000 0.1505 1
Li1 0.0000 0.5000 0.0000 1
Zn1 0.0000 0.0000 0.5000 1
Ni1 0.0622 0.5311 0.0913 1
Ni2 0.0711 0.5356 0.6176 1
```



[9]
First-principles (GGA-PBE) data for a relaxed Li2TaNi crystal, as listed in Alexandria via LeMat-Bulk.

## Properties
Spin magnetization   0.00 Bohr magnetons per cell
E   -41.17 eV per cell
ΔH_f (0 K)   0.219 eV/atom
Excess energy over the best structure of this formula in the dataset   110 meV per atom
D(E_F)   2.3 states/eV/f.u.

CIF file:
```
data_Li2TaNi
_symmetry_space_group_name_H-M 'C 1 m 1'
_symmetry_Int_Tables_number 8
_symmetry_space_group_name_Hall 'C -2y'
_cell_length_a 8.841
_cell_length_b 2.656
_cell_length_c 5.116
_cell_angle_alpha 90.00
_cell_angle_beta 100.66
_cell_angle_gamma 90.00
loop_
_atom_site_label
_atom_site_fract_x
_atom_site_fract_y
_atom_site_fract_z
_atom_site_occupancy
Li1 0.000 0.000 0.000 1
Li2 0.241 0.000 0.828 1
Ta1 0.277 0.500 0.357 1
Ni1 0.027 0.500 0.510 1
```



[10]
First-principles (GGA-PBE) data for a relaxed Li2TaNi crystal, as listed in Alexandria via LeMat-Bulk.

## Properties
Spin magnetization   0.01 Bohr magnetons per cell
E   -61.43 eV per cell
ΔH_f (0 K)   0.247 eV/atom
Excess energy over the best structure of this formula in the dataset   137 meV per atom
D(E_F)   4.9 states/eV/f.u.

CIF file:
```
data_Li2TaNi
_symmetry_space_group_name_H-M 'R -3 m'
_symmetry_Int_Tables_number 166
_symmetry_space_group_name_Hall '-R 3 2"'
_cell_length_a 2.7169
_cell_length_b 2.7169
_cell_length_c 28.0795
_cell_angle_alpha 90.00
_cell_angle_beta 90.00
_cell_angle_gamma 120.00
loop_
_atom_site_label
_atom_site_fract_x
_atom_site_fract_y
_atom_site_fract_z
_atom_site_occupancy
Li1 0.0000 0.0000 0.2395 1
Ta1 0.0000 0.0000 0.0000 1
Ni1 0.0000 0.0000 0.5000 1
```



[11]
First-principles (GGA-PBE) data for a relaxed Li2TaNi crystal, as listed in Alexandria via LeMat-Bulk.

## Properties
Spin magnetization   0.00 Bohr magnetons per cell
E   -41.83 eV per cell
ΔH_f (0 K)   0.137 eV/atom
Excess energy over the best structure of this formula in the dataset   27 meV per atom
D(E_F)   2.1 states/eV/f.u.

CIF file:
```
data_Li2TaNi
_symmetry_space_group_name_H-M 'C 1 2/m 1'
_symmetry_Int_Tables_number 12
_symmetry_space_group_name_Hall '-C 2y'
_cell_length_a 10.807
_cell_length_b 2.686
_cell_length_c 4.450
_cell_angle_alpha 90.00
_cell_angle_beta 113.53
_cell_angle_gamma 90.00
loop_
_atom_site_label
_atom_site_fract_x
_atom_site_fract_y
_atom_site_fract_z
_atom_site_occupancy
Li1 0.219 0.000 0.219 1
Ta1 0.000 0.000 0.500 1
Ni1 0.000 0.500 0.000 1
```



[12]
First-principles (GGA-PBE) data for a relaxed LiTa2Ni crystal, as listed in Alexandria via LeMat-Bulk.

## Properties
Spin magnetization   0.00 Bohr magnetons per cell
E   -60.99 eV per cell
ΔH_f (0 K)   0.226 eV/atom
Excess energy over the best structure of this formula in the dataset   127 meV per atom
D(E_F)   2.8 states/eV/f.u.

CIF file:
```
data_LiTa2Ni
_symmetry_space_group_name_H-M 'C 1 2/m 1'
_symmetry_Int_Tables_number 12
_symmetry_space_group_name_Hall '-C 2y'
_cell_length_a 5.454
_cell_length_b 8.314
_cell_length_c 2.726
_cell_angle_alpha 90.00
_cell_angle_beta 103.22
_cell_angle_gamma 90.00
loop_
_atom_site_label
_atom_site_fract_x
_atom_site_fract_y
_atom_site_fract_z
_atom_site_occupancy
Li1 0.000 0.000 0.000 1
Ta1 0.250 0.250 0.500 1
Ni1 0.000 0.500 0.000 1
```



[13]
First-principles (GGA-PBE) data for a relaxed LiTa2Ni crystal, as listed in Alexandria via LeMat-Bulk.

## Properties
Spin magnetization   0.00 Bohr magnetons per cell
E   -60.89 eV per cell
ΔH_f (0 K)   0.239 eV/atom
Excess energy over the best structure of this formula in the dataset   139 meV per atom
D(E_F)   4.5 states/eV/f.u.

CIF file:
```
data_LiTa2Ni
_symmetry_space_group_name_H-M 'I 4/m m m'
_symmetry_Int_Tables_number 139
_symmetry_space_group_name_Hall '-I 4 2'
_cell_length_a 3.930
_cell_length_b 3.930
_cell_length_c 7.688
_cell_angle_alpha 90.00
_cell_angle_beta 90.00
_cell_angle_gamma 90.00
loop_
_atom_site_label
_atom_site_fract_x
_atom_site_fract_y
_atom_site_fract_z
_atom_site_occupancy
Li1 0.000 0.000 0.000 1
Ta1 0.000 0.500 0.250 1
Ni1 0.000 0.000 0.500 1
```



[14]
First-principles (GGA-PBE) data for a relaxed Li2Ta2Ni15 crystal, as listed in Alexandria via LeMat-Bulk.

## Properties
Spin magnetization   7.92 Bohr magnetons per cell
E   -345.73 eV per cell
ΔH_f (0 K)   -0.052 eV/atom
D(E_F)   24.0 states/eV/f.u.

CIF file:
```
data_Li2Ta2Ni15
_symmetry_space_group_name_H-M 'R -3 m'
_symmetry_Int_Tables_number 166
_symmetry_space_group_name_Hall '-R 3 2"'
_cell_length_a 8.0964
_cell_length_b 8.0964
_cell_length_c 12.0559
_cell_angle_alpha 90.00
_cell_angle_beta 90.00
_cell_angle_gamma 120.00
loop_
_atom_site_label
_atom_site_fract_x
_atom_site_fract_y
_atom_site_fract_z
_atom_site_occupancy
Li1 0.0000 0.0000 0.0961 1
Ta1 0.0000 0.0000 0.3638 1
Ni1 0.0003 0.3333 0.3333 1
Ni2 0.0000 0.5000 0.5000 1
Ni3 0.0076 0.5038 0.1659 1
```